DFT (PBE) results for a relaxed Pr2Sm2C2F5 crystal.

a = 16.022 Å, b = 3.721 Å, c = 6.781 Å
α = 90.00°, β = 113.83°, γ = 90.00°
Space group C2/m (No. 12)
Unique sites:
Pr 0.003 0.000 0.264 [4 per cell]
Sm 0.197 0.500 0.700 [4 per cell]
C 0.049 0.500 0.549 [4 per cell]
F 0.000 0.500 0.000 [2 per cell]
F 0.186 0.000 0.917 [4 per cell]
F 0.187 0.000 0.459 [4 per cell]

## Properties
- final energy (eV per cell) = -147.54
- total magnetic moment (μB per atom) = 0.00



DFT (PBE) results for a relaxed PrErPO crystal.

a = 4.169 Å, b = 7.912 Å, c = 5.428 Å
α = 90.00°, β = 90.00°, γ = 90.00°
Space group Pmc2_1 (No. 26)
Unique sites:
Pr 0.000 0.134 0.000 [2 per cell]
Er 0.500 0.298 0.497 [2 per cell]
P 0.500 0.359 0.997 [2 per cell]
O 0.000 0.179 0.493 [2 per cell]

## Properties
- relative energy among the computed polymorphs (meV per atom) = 51
- total magnetic moment (μB per atom) = 0.10



DFT (PBE) results for a relaxed Gd3Tm3Te2Os crystal.

a = 8.2592 Å, b = 8.2592 Å, c = 4.0680 Å
α = 90.00°, β = 90.00°, γ = 120.00°
Space group P-62m (No. 189)
Unique sites:
Gd 0.0000 0.6080 0.0000 [3 per cell]
Tm 0.0000 0.2355 0.5000 [3 per cell]
Te 0.3333 0.6667 0.5000 [2 per cell]
Os 0.0000 0.0000 0.0000 [1 per cell]

## Properties
- relative energy among the computed polymorphs (meV per atom) = 0
- total magnetic moment (μB per atom) = 0.00



DFT (PBE) results for a relaxed Tb3Mg2ZnPt2Au crystal.

a = 3.977 Å, b = 12.977 Å, c = 7.448 Å
α = 90.00°, β = 90.00°, γ = 90.00°
Space group Amm2 (No. 38)
Unique sites:
Tb 0.000 0.000 0.000 [2 per cell]
Tb 0.000 0.201 0.357 [4 per cell]
Mg 0.500 0.125 0.697 [4 per cell]
Zn 0.500 0.000 0.315 [2 per cell]
Pt 0.500 0.168 0.067 [4 per cell]
Au 0.000 0.000 0.570 [2 per cell]

## Properties
- final energy (eV per cell) = -83.05
- total magnetic moment (μB per atom) = 0.00



DFT (PBE) results for a relaxed ThIn crystal.

a = 10.909 Å, b = 9.988 Å, c = 6.499 Å
α = 90.00°, β = 90.00°, γ = 90.00°
Space group Pbcm (No. 57)
Unique sites:
Th 0.113 0.250 0.000 [4 per cell]
Th 0.188 0.631 0.250 [4 per cell]
Th 0.381 0.033 0.250 [4 per cell]
In 0.088 0.550 0.750 [4 per cell]
In 0.357 0.129 0.750 [4 per cell]
In 0.429 0.750 0.000 [4 per cell]

## Properties
- final energy (eV per cell) = -128.94
- total magnetic moment (μB per atom) = 0.00



DFT (PBE) results for a relaxed Ba2NpS4 crystal.

a = 7.742 Å, b = 12.475 Å, c = 4.315 Å
α = 90.00°, β = 90.00°, γ = 90.00°
Space group Pbam (No. 55)
Unique sites:
Ba 0.079 0.180 0.000 [4 per cell]
Np 0.000 0.500 0.500 [2 per cell]
S 0.132 0.695 0.500 [4 per cell]
S 0.212 0.450 0.000 [4 per cell]

## Properties
- final energy (eV per cell) = -91.29
- total magnetic moment (μB per atom) = 0.43